VASP calculation (PBE-GGA) on a relaxed structure of MgAs2Pb.

Cell: 3.745 3.745 6.576 Å, 90.00 90.00 90.00°
Fractional positions:
As 0.000 0.000 0.056
As 0.000 0.000 0.444
Pb 0.500 0.500 0.750
Mg 0.500 0.500 0.250

Summary:
**Density of states at the Fermi level**: 1.5 states/eV/f.u.
**VASP energy**: -3.74 eV/atom